Entry 1:
DFT (PBE) results for a relaxed HfAgB2I crystal.

Lattice parameters (Å, degrees): 4.406 5.459 4.406 90.00 90.00 90.00
Positions (direct):
I  0.000  0.000  0.000
B  0.000  0.000  0.500
B  0.500  0.000  0.000
Hf  0.000  0.500  0.000
Ag  0.500  0.500  0.500

Properties
- Raw formation energy: 2.18 eV per atom
- Spin magnetization: 0.00 μB/f.u.
- Theoretical density: 6.82 g/cm3
- E: -16.8 eV for the cell shown


Entry 2:
DFT (PBE) results for a relaxed Li2CaAu2 crystal.

Lattice parameters (Å, degrees): 7.703 7.703 3.350 90.00 90.00 90.00
Positions (direct):
Ca  0.000  0.000  0.000
Ca  0.500  0.500  0.000
Au  0.358  0.858  0.000
Au  0.858  0.642  0.000
Au  0.642  0.142  0.000
Au  0.142  0.358  0.000
Li  0.144  0.644  0.500
Li  0.644  0.856  0.500
Li  0.856  0.356  0.500
Li  0.356  0.144  0.500

Properties
- Spin magnetization: 0.00 μB/f.u.
- Formation enthalpy at 0 K: -475.8 meV/atom
- Theoretical density: 7.48 g/cm3
- E: -29.5 eV for the cell shown